# RbPtSe2 PBE optimized geometry
data_RbPtSe2
_symmetry_space_group_name_H-M 'P 1'
_symmetry_Int_Tables_number 1
_symmetry_space_group_name_Hall 'P 1'
_cell_length_a 6.187
_cell_length_b 7.377
_cell_length_c 7.361
_cell_angle_alpha 90.00
_cell_angle_beta 114.85
_cell_angle_gamma 90.00
loop_
_atom_site_label
_atom_site_fract_x
_atom_site_fract_y
_atom_site_fract_z
Rb1 0.650 0.750 0.300
Rb2 0.350 0.250 0.700
Pt1 0.000 0.250 0.000
Pt2 0.000 0.750 0.000
Se1 0.120 0.499 0.241
Se2 0.880 0.501 0.759
Se3 0.120 0.001 0.241
Se4 0.880 0.999 0.759
# space-group type = No. 63
# formation energy (no corrections) = -61.31 kJ per mole of atoms
# M_tot = 0.0 μB/cell
# DOS at the Fermi energy = 3.53 states/eV/f.u.
# calculated total energy = -0.3035 Ry/atom